# 1
A plane-wave DFT calculation with GGA+U was carried out for crystalline SiMo3F at its relaxed geometry.

Cell lengths 4.250, 4.250, 4.250 Å; angles 90.00, 90.00, 90.00 degrees
Space group Pm-3m (No. 221)
One atom of each set of equivalent atoms:
Si 0.000 0.000 0.000 [1 per cell]
Mo 0.000 0.500 0.500 [3 per cell]
F 0.500 0.500 0.500 [1 per cell]

Calculated values
Mass density in g cm⁻³: 7.2
Offset from the most stable computed form in meV per atom: 0

# 2
A plane-wave DFT calculation with GGA+U was carried out for crystalline SiMoF2 at its relaxed geometry.

Cell lengths 2.7441, 2.7441, 24.2907 Å; angles 90.00, 90.00, 120.00 degrees
Space group R-3m (No. 166, hexagonal axes)
One atom of each set of equivalent atoms:
Si 0.0000 0.0000 0.0000 [3 per cell]
Mo 0.0000 0.0000 0.5000 [3 per cell]
F 0.0000 0.0000 0.4157 [6 per cell]

Calculated values
Mass density in g cm⁻³: 5.1
Offset from the most stable computed form in meV per atom: 263

# 3
A plane-wave DFT calculation with GGA+U was carried out for crystalline Si2MoF at its relaxed geometry.

Cell lengths 6.296, 6.296, 5.744 Å; angles 90.00, 90.00, 90.00 degrees
Space group I-42d (No. 122)
One atom of each set of equivalent atoms:
Si 0.197 0.750 0.125 [8 per cell]
Mo 0.000 0.000 0.500 [4 per cell]
F 0.000 0.000 0.000 [4 per cell]

Calculated values
Mass density in g cm⁻³: 5.0
Offset from the most stable computed form in meV per atom: 7

# 4
A plane-wave DFT calculation with GGA+U was carried out for crystalline SiMoF2 at its relaxed geometry.

Cell lengths 3.657, 3.657, 16.017 Å; angles 90.00, 90.00, 90.00 degrees
Space group I-42d (No. 122)
One atom of each set of equivalent atoms:
Si 0.000 0.000 0.000 [4 per cell]
Mo 0.000 0.000 0.500 [4 per cell]
F 0.244 0.250 0.625 [8 per cell]

Calculated values
Mass density in g cm⁻³: 5.0
Offset from the most stable computed form in meV per atom: 0

# 5
A plane-wave DFT calculation with GGA+U was carried out for crystalline SiMoF2 at its relaxed geometry.

Cell lengths 2.6779, 2.6779, 24.3430 Å; angles 90.00, 90.00, 120.00 degrees
Space group R-3m (No. 166, hexagonal axes)
One atom of each set of equivalent atoms:
Si 0.0000 0.0000 0.0000 [3 per cell]
Mo 0.0000 0.0000 0.5000 [3 per cell]
F 0.0000 0.0000 0.0733 [6 per cell]

Calculated values
Mass density in g cm⁻³: 5.3
Offset from the most stable computed form in meV per atom: 279

# 6
A plane-wave DFT calculation with GGA+U was carried out for crystalline SiMo2F at its relaxed geometry.

Cell lengths 6.653, 6.653, 6.504 Å; angles 90.00, 90.00, 90.00 degrees
Space group I-42d (No. 122)
One atom of each set of equivalent atoms:
Si 0.000 0.000 0.000 [4 per cell]
Mo 0.225 0.250 0.625 [8 per cell]
F 0.000 0.000 0.500 [4 per cell]

Calculated values
Mass density in g cm⁻³: 5.5
Offset from the most stable computed form in meV per atom: 57

# 7
A plane-wave DFT calculation with GGA+U was carried out for crystalline SiMoF3 at its relaxed geometry.

Cell lengths 4.310, 4.310, 4.310 Å; angles 90.00, 90.00, 90.00 degrees
Space group Pm-3m (No. 221)
One atom of each set of equivalent atoms:
Si 0.000 0.000 0.000 [1 per cell]
Mo 0.500 0.500 0.500 [1 per cell]
F 0.000 0.500 0.500 [3 per cell]

Calculated values
Mass density in g cm⁻³: 3.8
Offset from the most stable computed form in meV per atom: 30

# 8
A plane-wave DFT calculation with GGA+U was carried out for crystalline Si2MoF at its relaxed geometry.

Cell lengths 6.254, 6.254, 6.254 Å; angles 90.00, 90.00, 90.00 degrees
Space group Fm-3m (No. 225)
One atom of each set of equivalent atoms:
Si 0.250 0.250 0.250 [8 per cell]
Mo 0.000 0.000 0.000 [4 per cell]
F 0.000 0.000 0.500 [4 per cell]

Calculated values
Mass density in g cm⁻³: 4.6
Offset from the most stable computed form in meV per atom: 0

# 9
A plane-wave DFT calculation with GGA+U was carried out for crystalline Ti2SiMoF at its relaxed geometry.

Cell lengths 4.135, 4.135, 4.181 Å; angles 90.00, 90.00, 90.00 degrees
Space group P4/mmm (No. 123)
One atom of each set of equivalent atoms:
Ti 0.000 0.500 0.000 [2 per cell]
Si 0.000 0.000 0.500 [1 per cell]
Mo 0.500 0.500 0.500 [1 per cell]
F 0.500 0.500 0.000 [1 per cell]

Calculated values
Mass density in g cm⁻³: 5.5
Energy in eV per atom: -6.23

# 10
A plane-wave DFT calculation with GGA+U was carried out for crystalline ZrSi2MoF at its relaxed geometry.

Cell lengths 5.186, 5.186, 4.097 Å; angles 90.00, 90.00, 90.00 degrees
Space group P4/mmm (No. 123)
One atom of each set of equivalent atoms:
Zr 0.000 0.000 0.000 [1 per cell]
Si 0.000 0.500 0.000 [2 per cell]
Mo 0.500 0.500 0.500 [1 per cell]
F 0.000 0.000 0.500 [1 per cell]

Calculated values
Mass density in g cm⁻³: 4.0
Energy in eV per atom: -5.68

# 11
A plane-wave DFT calculation with GGA+U was carried out for crystalline SnMoF2 at its relaxed geometry.

Cell lengths 6.510, 6.510, 6.510 Å; angles 90.00, 90.00, 90.00 degrees
Space group Fm-3m (No. 225)
One atom of each set of equivalent atoms:
Sn 0.000 0.000 0.000 [4 per cell]
Mo 0.000 0.000 0.500 [4 per cell]
F 0.250 0.250 0.250 [8 per cell]

Calculated values
Mass density in g cm⁻³: 6.1
Offset from the most stable computed form in meV per atom: 367

# 12
A plane-wave DFT calculation with GGA+U was carried out for crystalline SnMoF2 at its relaxed geometry.

Cell lengths 7.221, 7.221, 5.963 Å; angles 90.00, 90.00, 90.00 degrees
Space group I-42d (No. 122)
One atom of each set of equivalent atoms:
Sn 0.000 0.000 0.000 [4 per cell]
Mo 0.000 0.000 0.500 [4 per cell]
F 0.144 0.250 0.625 [8 per cell]

Calculated values
Mass density in g cm⁻³: 5.4
Offset from the most stable computed form in meV per atom: 76